# Lu2SbN PBE relaxed
data_Lu2SbN
_chemical_formula_sum 'Lu4 Sb2 N2'
_cell_length_a 3.4776
_cell_length_b 3.4776
_cell_length_c 14.4750
_cell_angle_alpha 90.00
_cell_angle_beta 90.00
_cell_angle_gamma 120.00
_space_group_name_H-M_alt 'P 63/m m c'
_space_group_IT_number 194
_space_group_name_Hall '-P 6c 2c'
loop_
_atom_site_label
_atom_site_type_symbol
_atom_site_fract_x
_atom_site_fract_y
_atom_site_fract_z
Lu1 Lu 0.3333 0.6667 0.0867
Sb1 Sb 0.3333 0.6667 0.7500
N1 N 0.0000 0.0000 0.0000
# Calculated volume   151.6 Å³ per cell
# Calculated total energy   -6.583 eV/atom